No. 1
# Tm2HfCu6 (PBE, relaxed)
data_Tm2HfCu6
_chemical_formula_sum 'Tm2 Hf1 Cu6'
_cell_length_a 7.3505
_cell_length_b 7.3505
_cell_length_c 3.2168
_cell_angle_alpha 90.00
_cell_angle_beta 90.00
_cell_angle_gamma 120.00
_symmetry_space_group_name_H-M 'P 6/m m m'
_symmetry_Int_Tables_number 191
_symmetry_space_group_name_Hall '-P 6 2'
loop_
_atom_site_label
_atom_site_type_symbol
_atom_site_fract_x
_atom_site_fract_y
_atom_site_fract_z
_atom_site_occupancy
Tm1 Tm 0.3333 0.6667 0.0000 1
Hf1 Hf 0.0000 0.0000 0.0000 1
Cu1 Cu 0.0000 0.3297 0.5000 1
# * ΔH_f (0 K): -198 meV/atom

=====

No. 2
# Sr3MgTl4 (PBE, relaxed)
data_Sr3MgTl4
_chemical_formula_sum 'Sr3 Mg1 Tl4'
_cell_length_a 3.971
_cell_length_b 3.971
_cell_length_c 16.118
_cell_angle_alpha 90.00
_cell_angle_beta 90.00
_cell_angle_gamma 90.00
_symmetry_space_group_name_H-M 'P 4/m m m'
_symmetry_Int_Tables_number 123
_symmetry_space_group_name_Hall '-P 4 2'
loop_
_atom_site_label
_atom_site_type_symbol
_atom_site_fract_x
_atom_site_fract_y
_atom_site_fract_z
_atom_site_occupancy
Sr1 Sr 0.000 0.000 0.000 1
Sr2 Sr 0.000 0.000 0.262 1
Mg1 Mg 0.000 0.000 0.500 1
Tl1 Tl 0.500 0.500 0.126 1
Tl2 Tl 0.500 0.500 0.398 1
# * ΔH_f (0 K): -327 meV/atom

=====

No. 3
# Cs2RbHg2Cl7 (PBE, relaxed)
data_Cs2RbHg2Cl7
_chemical_formula_sum 'Cs4 Rb2 Hg4 Cl14'
_cell_length_a 5.438
_cell_length_b 5.438
_cell_length_c 27.469
_cell_angle_alpha 90.00
_cell_angle_beta 90.00
_cell_angle_gamma 90.00
_symmetry_space_group_name_H-M 'I 4/m m m'
_symmetry_Int_Tables_number 139
_symmetry_space_group_name_Hall '-I 4 2'
loop_
_atom_site_label
_atom_site_type_symbol
_atom_site_fract_x
_atom_site_fract_y
_atom_site_fract_z
_atom_site_occupancy
Cs1 Cs 0.000 0.000 0.178 1
Rb1 Rb 0.000 0.000 0.000 1
Hg1 Hg 0.000 0.000 0.402 1
Cl1 Cl 0.000 0.000 0.307 1
Cl2 Cl 0.000 0.000 0.500 1
Cl3 Cl 0.000 0.500 0.092 1
# * formation energy from raw total energies: -1298 meV/atom

=====

No. 4
# La3In5H12 (PBE, relaxed)
data_La3In5H12
_chemical_formula_sum 'La24 In40 H96'
_cell_length_a 13.350
_cell_length_b 13.350
_cell_length_c 13.350
_cell_angle_alpha 90.00
_cell_angle_beta 90.00
_cell_angle_gamma 90.00
_symmetry_space_group_name_H-M 'I a -3 d'
_symmetry_Int_Tables_number 230
_symmetry_space_group_name_Hall '-I 4bd 2c 3'
loop_
_atom_site_label
_atom_site_type_symbol
_atom_site_fract_x
_atom_site_fract_y
_atom_site_fract_z
_atom_site_occupancy
La1 La 0.000 0.250 0.125 1
In1 In 0.000 0.000 0.000 1
In2 In 0.000 0.250 0.375 1
H1 H 0.010 0.078 0.664 1
# * energy: -550.04 eV for the cell shown

=====

No. 5
# La4TlB3Rh12 (PBE, relaxed)
data_La4TlB3Rh12
_chemical_formula_sum 'La8 Tl2 B6 Rh24'
_cell_length_a 8.906
_cell_length_b 8.906
_cell_length_c 8.906
_cell_angle_alpha 90.00
_cell_angle_beta 90.00
_cell_angle_gamma 90.00
_symmetry_space_group_name_H-M 'I m -3 m'
_symmetry_Int_Tables_number 229
_symmetry_space_group_name_Hall '-I 4 2 3'
loop_
_atom_site_label
_atom_site_type_symbol
_atom_site_fract_x
_atom_site_fract_y
_atom_site_fract_z
_atom_site_occupancy
La1 La 0.250 0.250 0.250 1
Tl1 Tl 0.000 0.000 0.000 1
B1 B 0.000 0.000 0.500 1
Rh1 Rh 0.000 0.000 0.285 1
Rh2 Rh 0.000 0.250 0.500 1
# * ΔH_f (0 K): -467 meV/atom

=====

No. 6
# Tb4Y4Er (PBE, relaxed)
data_Tb4Y4Er
_chemical_formula_sum 'Tb8 Y8 Er2'
_cell_length_a 10.686
_cell_length_b 10.686
_cell_length_c 5.026
_cell_angle_alpha 90.00
_cell_angle_beta 90.00
_cell_angle_gamma 90.00
_symmetry_space_group_name_H-M 'I 4/m m m'
_symmetry_Int_Tables_number 139
_symmetry_space_group_name_Hall '-I 4 2'
loop_
_atom_site_label
_atom_site_type_symbol
_atom_site_fract_x
_atom_site_fract_y
_atom_site_fract_z
_atom_site_occupancy
Tb1 Tb 0.000 0.334 0.000 1
Y1 Y 0.166 0.166 0.500 1
Er1 Er 0.000 0.000 0.000 1
# * ΔH_f (0 K): 21 meV/atom

=====

No. 7
# PaNi2H8Rh (PBE, relaxed)
data_PaNi2H8Rh
_chemical_formula_sum 'Pa3 Ni6 H24 Rh3'
_cell_length_a 4.3378
_cell_length_b 4.3378
_cell_length_c 17.0902
_cell_angle_alpha 90.00
_cell_angle_beta 90.00
_cell_angle_gamma 120.00
_symmetry_space_group_name_H-M 'R -3'
_symmetry_Int_Tables_number 148
_symmetry_space_group_name_Hall '-R 3'
loop_
_atom_site_label
_atom_site_type_symbol
_atom_site_fract_x
_atom_site_fract_y
_atom_site_fract_z
_atom_site_occupancy
Pa1 Pa 0.0000 0.0000 0.0000 1
Ni1 Ni 0.0000 0.0000 0.2448 1
H1 H 0.0000 0.0000 0.3344 1
H2 H 0.0159 0.3761 0.7779 1
Rh1 Rh 0.0000 0.0000 0.5000 1
# * energy: -171.91 eV for the cell shown

=====

No. 8
# HgIr3O (PBE, relaxed)
data_HgIr3O
_chemical_formula_sum 'Hg1 Ir3 O1'
_cell_length_a 4.219
_cell_length_b 4.219
_cell_length_c 4.219
_cell_angle_alpha 90.00
_cell_angle_beta 90.00
_cell_angle_gamma 90.00
_symmetry_space_group_name_H-M 'P m -3 m'
_symmetry_Int_Tables_number 221
_symmetry_space_group_name_Hall '-P 4 2 3'
loop_
_atom_site_label
_atom_site_type_symbol
_atom_site_fract_x
_atom_site_fract_y
_atom_site_fract_z
_atom_site_occupancy
Hg1 Hg 0.000 0.000 0.000 1
Ir1 Ir 0.000 0.500 0.500 1
O1 O 0.500 0.500 0.500 1
# * formation energy from raw total energies: 876 meV/atom

=====

No. 9
# PmTcB2 (PBE, relaxed)
data_PmTcB2
_chemical_formula_sum 'Pm4 Tc4 B8'
_cell_length_a 6.094
_cell_length_b 3.572
_cell_length_c 10.196
_cell_angle_alpha 90.00
_cell_angle_beta 90.00
_cell_angle_gamma 90.00
_symmetry_space_group_name_H-M 'P n m a'
_symmetry_Int_Tables_number 62
loop_
_symmetry_equiv_pos_as_xyz
'x,y,z'
'-x,-y,-z'
'-x+1/2,-y,z+1/2'
'x+1/2,y,-z+1/2'
'x+1/2,-y+1/2,-z+1/2'
'-x+1/2,y+1/2,z+1/2'
'-x,y+1/2,-z'
'x,-y+1/2,z'
loop_
_atom_site_label
_atom_site_type_symbol
_atom_site_fract_x
_atom_site_fract_y
_atom_site_fract_z
_atom_site_occupancy
Pm1 Pm 0.107 0.250 0.138 1
Tc1 Tc 0.114 0.250 0.439 1
B1 B 0.035 0.250 0.670 1
B2 B 0.240 0.250 0.816 1
# * ΔH_f (0 K): -296 meV/atom

=====

No. 10
# LiAcZn4Au2 (PBE, relaxed)
data_LiAcZn4Au2
_chemical_formula_sum 'Li3 Ac3 Zn12 Au6'
_cell_length_a 4.4558
_cell_length_b 4.4558
_cell_length_c 27.1387
_cell_angle_alpha 90.00
_cell_angle_beta 90.00
_cell_angle_gamma 120.00
_symmetry_space_group_name_H-M 'R -3 m'
_symmetry_Int_Tables_number 166
_symmetry_space_group_name_Hall '-R 3 2"'
loop_
_atom_site_label
_atom_site_type_symbol
_atom_site_fract_x
_atom_site_fract_y
_atom_site_fract_z
_atom_site_occupancy
Li1 Li 0.0000 0.0000 0.0000 1
Ac1 Ac 0.0000 0.0000 0.5000 1
Zn1 Zn 0.0000 0.0000 0.0942 1
Zn2 Zn 0.0000 0.0000 0.3685 1
Au1 Au 0.0000 0.0000 0.2665 1
# * ΔH_f (0 K): -371 meV/atom

=====

No. 11
# La2TaFe (PBE, relaxed)
data_La2TaFe
_chemical_formula_sum 'La2 Ta1 Fe1'
_cell_length_a 3.255
_cell_length_b 3.255
_cell_length_c 9.100
_cell_angle_alpha 90.00
_cell_angle_beta 90.00
_cell_angle_gamma 90.00
_symmetry_space_group_name_H-M 'P 4 m m'
_symmetry_Int_Tables_number 99
loop_
_symmetry_equiv_pos_as_xyz
'x,y,z'
'-y,x,z'
'-x,-y,z'
'y,-x,z'
'-x,y,z'
'y,x,z'
'x,-y,z'
'-y,-x,z'
loop_
_atom_site_label
_atom_site_type_symbol
_atom_site_fract_x
_atom_site_fract_y
_atom_site_fract_z
_atom_site_occupancy
La1 La 0.000 0.000 0.000 1
La2 La 0.500 0.500 0.373 1
Ta1 Ta 0.000 0.000 0.641 1
Fe1 Fe 0.500 0.500 0.766 1
# * ΔH_f (0 K): 180 meV/atom

=====

No. 12
# BaTaCl6 (PBE, relaxed)
data_BaTaCl6
_chemical_formula_sum 'Ba2 Ta2 Cl12'
_cell_length_a 7.471
_cell_length_b 10.734
_cell_length_c 6.296
_cell_angle_alpha 90.00
_cell_angle_beta 105.72
_cell_angle_gamma 90.00
_symmetry_space_group_name_H-M 'C 1 2/m 1'
_symmetry_Int_Tables_number 12
loop_
_symmetry_equiv_pos_as_xyz
'x,y,z'
'-x,-y,-z'
'-x,y,-z'
'x,-y,z'
'x+1/2,y+1/2,z'
'-x+1/2,-y+1/2,-z'
'-x+1/2,y+1/2,-z'
'x+1/2,-y+1/2,z'
loop_
_atom_site_label
_atom_site_type_symbol
_atom_site_fract_x
_atom_site_fract_y
_atom_site_fract_z
_atom_site_occupancy
Ba1 Ba 0.000 0.000 0.000 1
Ta1 Ta 0.000 0.500 0.500 1
Cl1 Cl 0.145 0.340 0.764 1
Cl2 Cl 0.231 0.000 0.642 1
# * formation energy from raw total energies: -1677 meV/atom

=====

| no. | magnetic moment (μB/f.u.) |
| --- | --- |
| 1 | 0.000 |
| 2 | 0.000 |
| 3 | 0.000 |
| 4 | 0.000 |
| 5 | 0.002 |
| 6 | 0.000 |
| 7 | 0.088 |
| 8 | 0.000 |
| 9 | 0.000 |
| 10 | 0.000 |
| 11 | 0.669 |
| 12 | 1.004 |